one) Ba3CdH2 | GGA-PBE | optimized geometry

Geometry as extended XYZ:
```
12
Lattice="4.423 0.000 -0.864 -0.419 7.110 -2.145 0.364 -0.670 13.612" Properties=species:S:1:pos:R:3 pbc="T T T"
Ba 3.281 5.050 5.042
Ba 4.486 0.641 11.208
Ba 2.612 2.301 1.619
Ba 1.087 1.391 5.561
Ba 1.755 4.139 8.984
Ba -0.118 5.799 -0.605
Cd 2.611 5.961 1.611
Cd 1.757 0.479 8.992
H 3.122 2.536 4.228
H 1.246 3.905 6.375
H 0.217 1.325 1.109
H 4.151 5.115 9.494
```

As for the symmetry: No. 12. As for the density of states at the Fermi level: 0.586 states/eV/atom.

two) Ba3CdH2 | GGA-PBE | optimized geometry

Geometry as extended XYZ:
```
12
Lattice="-4.332 1.292 -3.668 2.703 -6.255 -5.395 -5.694 -3.710 5.418" Properties=species:S:1:pos:R:3 pbc="T T T"
Ba -8.093 -2.999 1.571
Ba -5.103 -1.661 -1.488
Ba -0.986 -2.899 -2.167
Ba -6.338 -5.774 -1.479
Ba -2.221 -7.012 -2.158
Ba 0.769 -5.674 -5.217
Cd -4.352 -4.122 1.378
Cd -2.971 -4.551 -5.024
H -0.473 -1.577 0.004
H -2.639 -0.931 -1.831
H -2.518 -8.388 0.019
H -4.684 -7.742 -1.815
```

As for the symmetry: No. 63. As for the density of states at the Fermi level: 0.784 states/eV/atom.

Which one is most stable, and which one is least stable? two) is the most stable of them, while one) is the least stable.

one) Ba2LiCdH | GGA-PBE | optimized geometry

Geometry as extended XYZ:
```
5
Lattice="-5.651 -0.130 0.443 -0.353 -2.289 -5.175 0.249 -4.338 1.902" Properties=species:S:1:pos:R:3 pbc="T T T"
H 0.000 0.000 0.000
Li -2.878 -3.379 -1.415
Ba -0.177 -1.145 -2.588
Ba -2.826 -0.065 0.221
Cd 0.124 -2.169 0.951
```

As for the symmetry: No. 123. As for the density of states at the Fermi level: 0.908 states/eV/atom.

two) Ba2LiCdH | GGA-PBE | optimized geometry

Geometry as extended XYZ:
```
5
Lattice="-3.983 4.286 0.185 -4.064 -3.851 1.711 1.023 0.771 4.164" Properties=species:S:1:pos:R:3 pbc="T T T"
H 0.000 0.000 0.000
Li 0.511 0.385 2.082
Ba -2.032 -1.925 0.855
Ba -1.992 2.143 0.092
Cd -3.513 0.603 3.030
```

As for the symmetry: No. 123. As for the density of states at the Fermi level: 0.599 states/eV/atom.

Which one is most stable, and which one is least stable? two) is the most stable of them, while one) is the least stable.

one) Ba2MgCdH | GGA-PBE | optimized geometry

Geometry as extended XYZ:
```
5
Lattice="-4.052 3.851 1.334 -2.248 -0.543 -5.261 -2.716 -3.380 1.510" Properties=species:S:1:pos:R:3 pbc="T T T"
H 0.000 0.000 0.000
Mg -1.358 -1.690 0.755
Ba -1.124 -0.272 -2.631
Ba -2.026 1.926 0.667
Cd -4.508 -0.036 -1.209
```

As for the symmetry: No. 123. As for the density of states at the Fermi level: 0.606 states/eV/atom.

two) Ba2MgCdH | GGA-PBE | optimized geometry

Geometry as extended XYZ:
```
5
Lattice="-1.372 -3.742 4.097 -2.181 -3.517 -3.942 4.220 -2.076 -0.483" Properties=species:S:1:pos:R:3 pbc="T T T"
H 0.000 0.000 0.000
Mg 0.334 -4.667 -0.164
Ba -1.090 -1.758 -1.971
Ba -0.686 -1.871 2.048
Cd 2.110 -1.038 -0.241
```

As for the symmetry: No. 123. As for the density of states at the Fermi level: 0.721 states/eV/atom.

Which one is most stable, and which one is least stable? one) is the most stable of them, while two) is the least stable.